# 1
A plane-wave DFT calculation with GGA-PBE was carried out for RbB after structural relaxation.

Summary:
Excess energy over the best structure of this formula in the dataset, eV per atom: 0.0281
Size of the total moment, μB/f.u.: 0.0
E_form, eV per atom: 0.3337
DFT total energy, Ry/atom: -0.256

a b c (Å): 9.0220 9.0220 9.0220
angles (deg): 91.83 91.83 159.40
Atoms (fractional coordinates):
Rb (0.0000, 0.2504, 0.2504)
Rb (0.0000, 0.7496, 0.7496)
Rb (0.2504, 0.0000, 0.2504)
Rb (0.7496, 0.0000, 0.7496)
B (0.2522, 0.2522, 0.5045)
B (0.2522, 0.7478, 0.0000)
B (0.7478, 0.2522, 0.0000)
B (0.7478, 0.7478, 0.4955)

=====

# 2
A plane-wave DFT calculation with GGA-PBE was carried out for RbB after structural relaxation.

Summary:
Excess energy over the best structure of this formula in the dataset, eV per atom: 0.0739
Size of the total moment, μB/f.u.: 0.0
E_form, eV per atom: 0.3795
DFT total energy, Ry/atom: -0.253

a b c (Å): 3.2613 5.6681 5.7021
angles (deg): 119.47 96.43 92.64
Atoms (fractional coordinates):
Rb (0.0000, 0.0000, 0.0000)
Rb (0.4919, 0.3330, 0.6696)
B (0.0013, 0.6662, 0.3366)
B (0.5015, 0.6669, 0.3331)

=====

# 3
A plane-wave DFT calculation with GGA-PBE was carried out for RbB after structural relaxation.

Summary:
Excess energy over the best structure of this formula in the dataset, eV per atom: 0.0738
Size of the total moment, μB/f.u.: 0.0
E_form, eV per atom: 0.3794
DFT total energy, Ry/atom: -0.253

a b c (Å): 5.6475 5.6475 3.2652
angles (deg): 90.00 90.00 120.00
Atoms (fractional coordinates):
Rb (0.3333, 0.6667, 0.0000)
Rb (0.6667, 0.3333, 0.5000)
B (0.0000, 0.0000, 0.2644)
B (0.0000, 0.0000, 0.7644)

=====

> Which of these has the highest excess energy over the best structure of this formula in the dataset?

number 2